Entry 1:
DFT (PBE+U) results for a relaxed structure of CrAg4F8.

Unit cell a=6.830 b=6.830 c=6.830 alpha=60.89 beta=60.89 gamma=60.89
Fractional coordinates of all 13 atoms:
Cr  0.000  0.000  0.000
Ag  0.000  0.000  0.500
Ag  0.000  0.500  0.000
Ag  0.500  0.000  0.000
Ag  0.500  0.500  0.500
F  0.199  0.798  0.798
F  0.202  0.202  0.801
F  0.202  0.801  0.202
F  0.225  0.225  0.225
F  0.775  0.775  0.775
F  0.798  0.199  0.798
F  0.798  0.798  0.199
F  0.801  0.202  0.202

Summary:
Symmetry: R-3m
Calculated density (g/cm3): 4.59
DFT total energy (eV per atom): -4.09
Fermi-level density of states (states/eV/cell): 4.86

***

Entry 2:
DFT (PBE+U) results for a relaxed structure of CrAg2F6.

Unit cell a=5.071 b=5.071 c=10.363 alpha=90.00 beta=90.00 gamma=90.00
Fractional coordinates of all 18 atoms:
Cr  0.000  0.000  0.000
Cr  0.500  0.500  0.500
Ag  0.000  0.000  0.338
Ag  0.000  0.000  0.662
Ag  0.500  0.500  0.162
Ag  0.500  0.500  0.838
F  0.182  0.182  0.142
F  0.182  0.182  0.858
F  0.230  0.230  0.500
F  0.270  0.730  0.000
F  0.318  0.682  0.358
F  0.318  0.682  0.642
F  0.682  0.318  0.358
F  0.682  0.318  0.642
F  0.730  0.270  0.000
F  0.770  0.770  0.500
F  0.818  0.818  0.142
F  0.818  0.818  0.858

Summary:
Polymorph energy (0 for the lowest one) (eV per atom): 0.0000
Symmetry: P4_2/mnm
Calculated density (g/cm3): 4.76
Fermi-level density of states (states/eV/cell): 10.87

***

Entry 3:
DFT (PBE+U) results for a relaxed structure of CrAgF3.

Unit cell a=4.367 b=4.367 c=4.367 alpha=90.00 beta=90.00 gamma=90.00
Fractional coordinates of all 5 atoms:
Cr  0.000  0.000  0.000
Ag  0.500  0.500  0.500
F  0.000  0.500  0.500
F  0.500  0.000  0.500
F  0.500  0.500  0.000

Summary:
Polymorph energy (0 for the lowest one) (eV per atom): 0.7714
Symmetry: Pm-3m
Calculated density (g/cm3): 4.32
Fermi-level density of states (states/eV/cell): 13.85

***

Entry 4:
DFT (PBE+U) results for a relaxed structure of CrAg2F6.

Unit cell a=4.950 b=4.950 c=6.078 alpha=109.82 beta=109.82 gamma=91.10
Fractional coordinates of all 9 atoms:
Cr  0.000  0.000  0.000
Ag  0.370  0.370  0.659
Ag  0.630  0.630  0.341
F  0.067  0.708  0.724
F  0.281  0.281  0.007
F  0.292  0.933  0.276
F  0.708  0.067  0.724
F  0.719  0.719  0.993
F  0.933  0.292  0.276

Summary:
Polymorph energy (0 for the lowest one) (eV per atom): 0.0291
Symmetry: C2/m
Calculated density (g/cm3): 4.87
Fermi-level density of states (states/eV/cell): 4.24